The following is a DFT calculation (GGA-PBE) of crystalline Ir2OsSe at its relaxed geometry.

abc: 2.873 4.476 9.459
angles: 90.00 90.00 90.00
Fractional coordinates of all 8 atoms:
1 Ir 0.000 0.000 0.000
2 Ir 0.000 0.500 0.213
3 Ir 0.500 0.000 0.713
4 Ir 0.500 0.500 0.500
5 Os 0.000 0.000 0.449
6 Os 0.500 0.500 0.949
7 Se 0.000 0.500 0.732
8 Se 0.500 0.000 0.232

Uncorrected energy ... -60.11 eV per cell
DOS(E_F) ... 4.42 states/eV/f.u.
Total magnetic moment ... 0.00 μB per cell


The following is a DFT calculation (GGA-PBE) of crystalline Ir4OsSe at its relaxed geometry.

abc: 5.174 5.174 5.174
angles: 60.00 60.00 60.00
Fractional coordinates of all 6 atoms:
1 Ir 0.125 0.125 0.125
2 Ir 0.125 0.125 0.624
3 Ir 0.125 0.624 0.125
4 Ir 0.624 0.125 0.125
5 Os 0.500 0.500 0.500
6 Se 0.750 0.750 0.750

Uncorrected energy ... -44.01 eV per cell
DOS(E_F) ... 9.97 states/eV/f.u.
Total magnetic moment ... 1.43 μB per cell


The following is a DFT calculation (GGA-PBE) of crystalline IrOs2Se at its relaxed geometry.

abc: 2.789 4.655 4.711
angles: 90.00 90.00 90.00
Fractional coordinates of all 4 atoms:
1 Ir 0.000 0.000 0.000
2 Os 0.000 0.500 0.500
3 Os 0.500 0.000 0.500
4 Se 0.500 0.500 0.000

Uncorrected energy ... -31.69 eV per cell
DOS(E_F) ... 4.54 states/eV/f.u.
Total magnetic moment ... 0.00 μB per cell


The following is a DFT calculation (GGA-PBE) of crystalline IrOs2Se at its relaxed geometry.

abc: 2.840 2.840 25.719
angles: 90.00 90.00 120.00
Fractional coordinates of all 12 atoms:
1 Ir 0.000 0.000 0.000
2 Ir 0.333 0.667 0.667
3 Ir 0.667 0.333 0.333
4 Os 0.000 0.000 0.501
5 Os 0.000 0.000 0.752
6 Os 0.333 0.667 0.168
7 Os 0.333 0.667 0.419
8 Os 0.667 0.333 0.085
9 Os 0.667 0.333 0.834
10 Se 0.000 0.000 0.248
11 Se 0.333 0.667 0.915
12 Se 0.667 0.333 0.582

Uncorrected energy ... -99.23 eV per cell
DOS(E_F) ... 4.22 states/eV/f.u.
Total magnetic moment ... 0.00 μB per cell


The following is a DFT calculation (GGA-PBE) of crystalline IrOs2Se at its relaxed geometry.

abc: 5.627 7.590 2.815
angles: 90.00 90.00 90.00
Fractional coordinates of all 8 atoms:
1 Ir 0.000 0.000 0.000
2 Ir 0.500 0.500 0.000
3 Os 0.250 0.250 0.500
4 Os 0.250 0.750 0.500
5 Os 0.750 0.250 0.500
6 Os 0.750 0.750 0.500
7 Se 0.000 0.500 0.000
8 Se 0.500 0.000 0.000

Uncorrected energy ... -63.92 eV per cell
DOS(E_F) ... 4.81 states/eV/f.u.
Total magnetic moment ... 0.00 μB per cell


The following is a DFT calculation (GGA-PBE) of crystalline IrOsSe2 at its relaxed geometry.

abc: 9.804 3.054 6.058
angles: 90.00 94.65 90.00
Fractional coordinates of all 8 atoms:
1 Ir 0.000 0.000 0.000
2 Ir 0.500 0.500 0.000
3 Os 0.278 0.000 0.020
4 Os 0.778 0.500 0.020
5 Se 0.119 0.500 0.758
6 Se 0.350 0.500 0.316
7 Se 0.619 0.000 0.758
8 Se 0.850 0.000 0.316

Distance to the lowest polymorph of the same formula ... 191.8 meV per atom
Uncorrected energy ... -51.41 eV per cell
DOS(E_F) ... 3.91 states/eV/f.u.
Total magnetic moment ... 0.00 μB per cell


The following is a DFT calculation (GGA-PBE) of crystalline Ir3OsSe at its relaxed geometry.

abc: 4.748 4.748 4.748
angles: 90.00 90.00 90.00
Fractional coordinates of all 5 atoms:
1 Ir 0.000 0.000 0.500
2 Ir 0.000 0.500 0.000
3 Ir 0.500 0.000 0.000
4 Os 0.000 0.000 0.000
5 Se 0.500 0.500 0.500

Distance to the lowest polymorph of the same formula ... 15.3 meV per atom
Uncorrected energy ... -31.84 eV per cell
DOS(E_F) ... 7.50 states/eV/f.u.
Total magnetic moment ... 0.00 μB per cell


The following is a DFT calculation (GGA-PBE) of crystalline Ir2OsSe at its relaxed geometry.

abc: 2.733 4.841 9.469
angles: 90.00 90.00 90.00
Fractional coordinates of all 8 atoms:
1 Ir 0.000 0.000 0.241
2 Ir 0.000 0.000 0.759
3 Ir 0.500 0.500 0.241
4 Ir 0.500 0.500 0.759
5 Os 0.000 0.500 0.000
6 Os 0.500 0.000 0.000
7 Se 0.000 0.500 0.500
8 Se 0.500 0.000 0.500

Uncorrected energy ... -59.99 eV per cell
DOS(E_F) ... 4.87 states/eV/f.u.
Total magnetic moment ... 0.87 μB per cell


The following is a DFT calculation (GGA-PBE) of crystalline IrOs4Se at its relaxed geometry.

abc: 5.164 5.164 5.164
angles: 60.00 60.00 60.00
Fractional coordinates of all 6 atoms:
1 Ir 0.000 0.000 0.000
2 Os 0.122 0.626 0.626
3 Os 0.626 0.122 0.626
4 Os 0.626 0.626 0.122
5 Os 0.626 0.626 0.626
6 Se 0.250 0.250 0.250

Uncorrected energy ... -50.08 eV per cell
DOS(E_F) ... 10.15 states/eV/f.u.
Total magnetic moment ... 0.00 μB per cell


The following is a DFT calculation (GGA-PBE) of crystalline IrOsSe4 at its relaxed geometry.

abc: 5.395 5.395 5.395
angles: 60.00 60.00 60.00
Fractional coordinates of all 6 atoms:
1 Ir 0.000 0.000 0.000
2 Os 0.750 0.750 0.750
3 Se 0.375 0.375 0.375
4 Se 0.375 0.375 0.876
5 Se 0.375 0.876 0.375
6 Se 0.876 0.375 0.375

Uncorrected energy ... -23.62 eV per cell
DOS(E_F) ... 8.94 states/eV/f.u.
Total magnetic moment ... 1.67 μB per cell


The following is a DFT calculation (GGA-PBE) of crystalline IrOsSe2 at its relaxed geometry.

abc: 2.915 4.599 9.748
angles: 90.00 90.00 90.00
Fractional coordinates of all 8 atoms:
1 Ir 0.000 0.000 0.000
2 Ir 0.500 0.500 0.500
3 Os 0.000 0.500 0.743
4 Os 0.500 0.000 0.243
5 Se 0.000 0.000 0.465
6 Se 0.000 0.500 0.261
7 Se 0.500 0.000 0.761
8 Se 0.500 0.500 0.965

Distance to the lowest polymorph of the same formula ... 501.3 meV per atom
Uncorrected energy ... -48.94 eV per cell
DOS(E_F) ... 3.72 states/eV/f.u.
Total magnetic moment ... 0.00 μB per cell


The following is a DFT calculation (GGA-PBE) of crystalline Ir2OsSe at its relaxed geometry.

abc: 2.834 2.834 7.569
angles: 90.00 90.00 90.00
Fractional coordinates of all 4 atoms:
1 Ir 0.000 0.000 0.000
2 Ir 0.500 0.500 0.249
3 Os 0.000 0.000 0.490
4 Se 0.500 0.500 0.730

Uncorrected energy ... -30.55 eV per cell
DOS(E_F) ... 3.12 states/eV/f.u.
Total magnetic moment ... 0.00 μB per cell


Going through the records in order, we get formation energy from raw total energies values of 230 593 301 167 274 131 912 236 694 1004 250 182 kJ/mol of formula units.